The following is a GGA-PBE calculation of ReGe2Rh after structural relaxation, from Alexandria.

Computed properties:
Mass density = 12.450 g/cm³
Energy of formation from the pure elements = -0.0821 eV per atom
ΔE to the lowest computed polymorph = 0 meV/atom

Cell lengths 3.131, 4.302, 4.302 Å; angles 90.00, 90.00, 90.00 degrees
Sites, in units of the cell vectors:
Re  0.500  0.000  0.000
Ge  0.000  0.000  0.500
Ge  0.000  0.500  0.000
Rh  0.500  0.500  0.500

---

The following is a GGA-PBE calculation of ReGe2Rh after structural relaxation, from Alexandria.

Computed properties:
Mass density = 8.407 g/cm³
Energy of formation from the pure elements = 0.6605 eV per atom
ΔE to the lowest computed polymorph = 743 meV/atom

Cell lengths 5.577, 5.577, 6.781 Å; angles 65.72, 65.72, 90.00 degrees
Sites, in units of the cell vectors:
Re  0.000  0.000  0.000
Re  0.750  0.250  0.500
Ge  0.623  0.125  0.250
Ge  0.127  0.625  0.250
Ge  0.375  0.377  0.750
Ge  0.875  0.873  0.750
Rh  0.500  0.500  0.000
Rh  0.250  0.750  0.500

---

The following is a GGA-PBE calculation of ReGe2Rh after structural relaxation, from Alexandria.

Computed properties:
Mass density = 11.129 g/cm³
Energy of formation from the pure elements = 0.1489 eV per atom
ΔE to the lowest computed polymorph = 231 meV/atom

Cell lengths 2.916, 2.916, 8.963 Å; angles 80.64, 80.64, 60.00 degrees
Sites, in units of the cell vectors:
Re  0.500  0.500  0.500
Ge  0.090  0.090  0.729
Ge  0.910  0.910  0.271
Rh  0.000  0.000  0.000

---

The following is a GGA-PBE calculation of ReGe2Rh after structural relaxation, from Alexandria.

Computed properties:
Mass density = 12.415 g/cm³
Energy of formation from the pure elements = -0.0667 eV per atom
ΔE to the lowest computed polymorph = 15 meV/atom

Cell lengths 4.347, 4.347, 4.347 Å; angles 60.00, 60.00, 60.00 degrees
Sites, in units of the cell vectors:
Re  0.500  0.500  0.500
Ge  0.250  0.250  0.250
Ge  0.750  0.750  0.750
Rh  0.000  0.000  0.000

---

The following is a GGA-PBE calculation of Re2GeRh after structural relaxation, from Alexandria.

Computed properties:
Mass density = 10.436 g/cm³
Energy of formation from the pure elements = 1.3354 eV per atom

Cell lengths 5.709, 5.709, 6.703 Å; angles 64.80, 64.80, 90.00 degrees
Sites, in units of the cell vectors:
Re  0.635  0.125  0.250
Re  0.115  0.625  0.250
Re  0.375  0.365  0.750
Re  0.875  0.885  0.750
Ge  0.500  0.500  0.000
Ge  0.250  0.750  0.500
Rh  0.000  0.000  0.000
Rh  0.750  0.250  0.500

---

The following is a GGA-PBE calculation of ReGeRh3 after structural relaxation, from Alexandria.

Computed properties:
Mass density = 9.003 g/cm³
Energy of formation from the pure elements = 1.1729 eV per atom
ΔE to the lowest computed polymorph = 79 meV/atom

Cell lengths 4.713, 4.713, 4.713 Å; angles 90.00, 90.00, 90.00 degrees
Sites, in units of the cell vectors:
Re  0.000  0.000  0.000
Ge  0.500  0.500  0.500
Rh  0.000  0.500  0.000
Rh  0.000  0.000  0.500
Rh  0.500  0.000  0.000

---

The following is a GGA-PBE calculation of ReGe2RhS after structural relaxation, from Alexandria.

Computed properties:
Mass density = 7.007 g/cm³
Energy relative to the elements, uncorrected = 5.12 eV per formula unit

Cell lengths 4.564, 5.307, 4.564 Å; angles 90.00, 90.00, 90.00 degrees
Sites, in units of the cell vectors:
Re  0.000  0.500  0.000
Ge  0.000  0.000  0.500
Ge  0.500  0.000  0.000
Rh  0.000  0.000  0.000
S  0.500  0.500  0.500

---

The following is a GGA-PBE calculation of ReGeSbRh2 after structural relaxation, from Alexandria.

Computed properties:
Mass density = 8.951 g/cm³
Energy relative to the elements, uncorrected = 4.39 eV per formula unit

Cell lengths 4.777, 4.777, 4.767 Å; angles 90.00, 90.00, 90.00 degrees
Sites, in units of the cell vectors:
Re  0.000  0.000  0.000
Ge  0.000  0.000  0.500
Rh  0.000  0.500  0.000
Rh  0.500  0.000  0.000
Sb  0.500  0.500  0.500

---

The following is a GGA-PBE calculation of Re2TcGeRh after structural relaxation, from Alexandria.

Computed properties:
Mass density = 10.802 g/cm³
Energy of formation from the pure elements = 1.7805 eV per atom

Cell lengths 4.650, 4.593, 4.650 Å; angles 90.00, 90.00, 90.00 degrees
Sites, in units of the cell vectors:
Re  0.000  0.000  0.500
Re  0.500  0.000  0.000
Ge  0.000  0.500  0.000
Rh  0.500  0.500  0.500
Tc  0.000  0.000  0.000

---

The following is a GGA-PBE calculation of VRe2GeRh after structural relaxation, from Alexandria.

Computed properties:
Mass density = 9.980 g/cm³
Energy of formation from the pure elements = 1.8157 eV per atom

Cell lengths 4.714, 4.485, 4.714 Å; angles 90.00, 90.00, 90.00 degrees
Sites, in units of the cell vectors:
Re  0.000  0.000  0.500
Re  0.500  0.000  0.000
Ge  0.500  0.500  0.500
Rh  0.000  0.000  0.000
V  0.000  0.500  0.000

---

The following is a GGA-PBE calculation of VReGeRh after structural relaxation, from Alexandria.

Computed properties:
Mass density = 12.136 g/cm³
Energy of formation from the pure elements = -0.1942 eV per atom

Cell lengths 4.306, 4.306, 4.306 Å; angles 60.00, 60.00, 60.00 degrees
Sites, in units of the cell vectors:
Re  0.000  0.000  0.000
Ge  0.250  0.250  0.250
Rh  0.500  0.500  0.500
V  0.750  0.750  0.750

---

The following is a GGA-PBE calculation of YReGe2Rh after structural relaxation, from Alexandria.

Computed properties:
Mass density = 8.013 g/cm³
Energy of formation from the pure elements = 0.5313 eV per atom

Cell lengths 4.688, 4.934, 4.688 Å; angles 90.00, 90.00, 90.00 degrees
Sites, in units of the cell vectors:
Y  0.500  0.500  0.500
Re  0.000  0.500  0.000
Ge  0.000  0.000  0.500
Ge  0.500  0.000  0.000
Rh  0.000  0.000  0.000

---

The following is a GGA-PBE calculation of Re2GeRu after structural relaxation, from Alexandria.

Computed properties:
Mass density = 10.366 g/cm³
Energy of formation from the pure elements = 1.3225 eV per atom

Cell lengths 5.643, 5.643, 6.791 Å; angles 65.45, 65.45, 90.00 degrees
Sites, in units of the cell vectors:
Re  0.636  0.125  0.250
Re  0.114  0.625  0.250
Re  0.375  0.364  0.750
Re  0.875  0.886  0.750
Ge  0.500  0.500  0.000
Ge  0.250  0.750  0.500
Ru  0.000  0.000  0.000
Ru  0.750  0.250  0.500

---

The following is a GGA-PBE calculation of ReGe2Ru2 after structural relaxation, from Alexandria.

Computed properties:
Mass density = 12.251 g/cm³
Energy of formation from the pure elements = 0.1135 eV per atom

Cell lengths 7.137, 7.137, 2.840 Å; angles 90.00, 90.00, 90.00 degrees
Sites, in units of the cell vectors:
Re  0.000  0.000  0.000
Re  0.500  0.500  0.000
Ge  0.355  0.855  0.000
Ge  0.855  0.645  0.000
Ge  0.645  0.145  0.000
Ge  0.145  0.355  0.000
Ru  0.156  0.656  0.500
Ru  0.656  0.844  0.500
Ru  0.844  0.344  0.500
Ru  0.344  0.156  0.500

---

The following is a GGA-PBE calculation of ReGe3Ru after structural relaxation, from Alexandria.

Computed properties:
Mass density = 7.609 g/cm³
Energy of formation from the pure elements = 1.0674 eV per atom
ΔE to the lowest computed polymorph = 0 meV/atom

Cell lengths 4.795, 4.795, 4.795 Å; angles 90.00, 90.00, 90.00 degrees
Sites, in units of the cell vectors:
Re  0.000  0.000  0.000
Ge  0.000  0.500  0.000
Ge  0.000  0.000  0.500
Ge  0.500  0.000  0.000
Ru  0.500  0.500  0.500

---

The following is a GGA-PBE calculation of ReGe4Ru after structural relaxation, from Alexandria.

Computed properties:
Mass density = 8.084 g/cm³
Energy of formation from the pure elements = 0.0422 eV per atom

Cell lengths 5.898, 5.654, 7.119 Å; angles 90.00, 90.00, 90.00 degrees
Sites, in units of the cell vectors:
Re  0.000  0.000  0.917
Re  0.500  0.000  0.417
Ge  0.231  0.842  0.185
Ge  0.231  0.340  0.814
Ge  0.269  0.340  0.314
Ge  0.269  0.842  0.685
Ge  0.731  0.660  0.314
Ge  0.731  0.158  0.685
Ge  0.769  0.158  0.185
Ge  0.769  0.660  0.814
Ru  0.000  0.500  0.087
Ru  0.500  0.500  0.587

---

The following is a GGA-PBE calculation of ReSi2GeRu after structural relaxation, from Alexandria.

Computed properties:
Mass density = 6.739 g/cm³
Energy relative to the elements, uncorrected = 4.82 eV per formula unit

Cell lengths 4.615, 4.813, 4.615 Å; angles 90.00, 90.00, 90.00 degrees
Sites, in units of the cell vectors:
Re  0.000  0.000  0.000
Ge  0.500  0.500  0.500
Si  0.000  0.000  0.500
Si  0.500  0.000  0.000
Ru  0.000  0.500  0.000

---

The following is a GGA-PBE calculation of ReSiGe2Ru after structural relaxation, from Alexandria.

Computed properties:
Mass density = 8.216 g/cm³
Energy relative to the elements, uncorrected = 6.93 eV per formula unit

Cell lengths 4.635, 4.334, 4.635 Å; angles 90.00, 90.00, 90.00 degrees
Sites, in units of the cell vectors:
Re  0.500  0.500  0.500
Ge  0.000  0.000  0.500
Ge  0.500  0.000  0.000
Si  0.000  0.000  0.000
Ru  0.000  0.500  0.000

---

The following is a GGA-PBE calculation of VReGeRu after structural relaxation, from Alexandria.

Computed properties:
Mass density = 12.214 g/cm³
Energy of formation from the pure elements = -0.2022 eV per atom

Cell lengths 4.291, 4.291, 4.291 Å; angles 60.00, 60.00, 60.00 degrees
Sites, in units of the cell vectors:
Re  0.000  0.000  0.000
Ge  0.250  0.250  0.250
V  0.750  0.750  0.750
Ru  0.500  0.500  0.500

---

The following is a GGA-PBE calculation of ZnReGeRu2 after structural relaxation, from Alexandria.

Computed properties:
Mass density = 8.316 g/cm³
Energy of formation from the pure elements = 1.3705 eV per atom

Cell lengths 4.665, 4.829, 4.665 Å; angles 90.00, 90.00, 90.00 degrees
Sites, in units of the cell vectors:
Re  0.000  0.000  0.000
Ge  0.500  0.500  0.500
Zn  0.000  0.500  0.000
Ru  0.000  0.000  0.500
Ru  0.500  0.000  0.000

---

The following is a GGA-PBE calculation of ReGeS2 after structural relaxation, from Alexandria.

Computed properties:
Mass density = 7.640 g/cm³
Energy relative to the elements, uncorrected = 1.90 eV per formula unit

Cell lengths 7.835, 7.835, 7.835 Å; angles 24.05, 24.05, 24.05 degrees
Sites, in units of the cell vectors:
Re  0.000  0.000  0.000
Ge  0.500  0.500  0.500
S  0.902  0.902  0.902
S  0.098  0.098  0.098

---

The following is a GGA-PBE calculation of ReGeS2 after structural relaxation, from Alexandria.

Computed properties:
Mass density = 7.270 g/cm³
Energy relative to the elements, uncorrected = -0.04 eV per formula unit

Cell lengths 8.842, 8.842, 8.842 Å; angles 20.44, 20.44, 20.44 degrees
Sites, in units of the cell vectors:
Re  0.500  0.500  0.500
Ge  0.000  0.000  0.000
S  0.895  0.895  0.895
S  0.105  0.105  0.105

---

The following is a GGA-PBE calculation of Re2GeS after structural relaxation, from Alexandria.

Computed properties:
Mass density = 14.118 g/cm³
Energy relative to the elements, uncorrected = 1.73 eV per formula unit
ΔE to the lowest computed polymorph = 0 meV/atom

Cell lengths 4.297, 4.297, 4.297 Å; angles 60.00, 60.00, 60.00 degrees
Sites, in units of the cell vectors:
Re  0.250  0.250  0.250
Re  0.750  0.750  0.750
Ge  0.500  0.500  0.500
S  0.000  0.000  0.000

---

The following is a GGA-PBE calculation of Re3GeS after structural relaxation, from Alexandria.

Computed properties:
Mass density = 12.999 g/cm³
Energy relative to the elements, uncorrected = 5.96 eV per formula unit
ΔE to the lowest computed polymorph = 0 meV/atom

Cell lengths 4.392, 4.392, 4.392 Å; angles 90.00, 90.00, 90.00 degrees
Sites, in units of the cell vectors:
Re  0.000  0.500  0.000
Re  0.000  0.000  0.500
Re  0.500  0.000  0.000
Ge  0.500  0.500  0.500
S  0.000  0.000  0.000

---

The following is a GGA-PBE calculation of ReGeS2 after structural relaxation, from Alexandria.

Computed properties:
Mass density = 6.178 g/cm³
Energy relative to the elements, uncorrected = 1.08 eV per formula unit

Cell lengths 5.874, 5.874, 6.524 Å; angles 63.24, 63.24, 90.00 degrees
Sites, in units of the cell vectors:
Re  0.000  0.000  0.000
Re  0.750  0.250  0.500
Ge  0.500  0.500  0.000
Ge  0.250  0.750  0.500
S  0.676  0.125  0.250
S  0.074  0.625  0.250
S  0.375  0.324  0.750
S  0.875  0.926  0.750

---

The following is a GGA-PBE calculation of Re2GeS after structural relaxation, from Alexandria.

Computed properties:
Mass density = 10.027 g/cm³
Energy relative to the elements, uncorrected = 3.27 eV per formula unit
ΔE to the lowest computed polymorph = 385 meV/atom

Cell lengths 5.558, 5.558, 6.451 Å; angles 64.48, 64.48, 90.00 degrees
Sites, in units of the cell vectors:
Re  0.593  0.125  0.250
Re  0.157  0.625  0.250
Re  0.375  0.407  0.750
Re  0.875  0.843  0.750
Ge  0.000  0.000  0.000
Ge  0.750  0.250  0.500
S  0.500  0.500  0.000
S  0.250  0.750  0.500

---

The following is a GGA-PBE calculation of ReSiGe2S after structural relaxation, from Alexandria.

Computed properties:
Mass density = 5.940 g/cm³
Energy relative to the elements, uncorrected = 3.78 eV per formula unit

Cell lengths 4.999, 4.381, 4.999 Å; angles 90.00, 90.00, 90.00 degrees
Sites, in units of the cell vectors:
Re  0.000  0.000  0.000
Ge  0.000  0.000  0.500
Ge  0.500  0.000  0.000
Si  0.500  0.500  0.500
S  0.000  0.500  0.000

---

The following is a GGA-PBE calculation of Sr2ReGeS after structural relaxation, from Alexandria.

Computed properties:
Mass density = 5.524 g/cm³
Energy relative to the elements, uncorrected = -0.39 eV per formula unit

Cell lengths 5.669, 4.360, 5.669 Å; angles 90.00, 90.00, 90.00 degrees
Sites, in units of the cell vectors:
Re  0.000  0.500  0.000
Ge  0.500  0.500  0.500
S  0.000  0.000  0.000
Sr  0.000  0.000  0.500
Sr  0.500  0.000  0.000